Compound: Ba3Sn9Bi2
Source: the Alexandria database
Functional: PBE-GGA
Structure: relaxed

abc: 5.327 10.172 10.172
angles: 63.15 74.82 74.82
Positions (direct):
Sn (0.324, 0.034, 0.318)
Sn (0.863, 0.864, 0.409)
Ba (0.692, 0.308, 0.308)
Sn (0.676, 0.682, 0.966)
Sn (0.137, 0.591, 0.136)
Sn (0.000, 0.500, 0.500)
Bi (0.500, 0.723, 0.277)
Sn (0.324, 0.318, 0.034)
Sn (0.137, 0.136, 0.591)
Ba (0.308, 0.692, 0.692)
Sn (0.863, 0.409, 0.864)
Sn (0.676, 0.966, 0.682)
Ba (0.000, 0.000, 0.000)
Bi (0.500, 0.277, 0.723)

Magnetic moment in μB per cell: 0.0
SG: Immm, No. 71
N(E_F) in states/eV per atom: 0.634
Total DFT energy (no corrections) in eV/atom: -3.88